Below is a relaxed structure of Tb2Nd3Zn2, with properties calculated at the PBE level.

Summary:
offset from the most stable computed form: 0.0160 eV/atom
symmetry: No. 65

Geometry as extended XYZ:
```
7
Lattice="1.831 -15.397 0.000 1.831 15.397 0.000 0.000 0.000 3.612" Properties=species:S:1:pos:R:3 pbc="T T T"
Tb 1.831 9.189 0.000
Tb 1.831 -9.189 0.000
Nd 1.831 12.719 0.000
Nd 1.831 0.000 1.806
Nd 1.831 -12.719 0.000
Zn 1.831 4.552 1.806
Zn 1.831 -4.552 1.806
```